Entry 1:
Sr2CaCl after structural relaxation, computed with PBE-GGA.

Unit cell a=6.400 b=6.400 c=6.400 alpha=60.00 beta=60.00 gamma=60.00
Element x y z (fractional)
Sr (0.000, 0.000, 0.000)
Sr (0.250, 0.250, 0.250)
Ca (0.500, 0.500, 0.500)
Cl (0.750, 0.750, 0.750)

Calculated values
**Volume**: 185.4 Å³ per cell
**Distance to the lowest polymorph of the same formula**: 0.593 eV per atom
**Space group**: F-43m (216)
**ΔE_f (raw)**: -222 meV per atom
**Magnetic moment**: 0.00 Bohr magnetons per cell
**DFT total energy**: -2.02 eV per atom

***

Entry 2:
BaNpIO6 after structural relaxation, computed with PBE-GGA.

Unit cell a=5.769 b=5.769 c=11.378 alpha=90.00 beta=90.00 gamma=120.00
Element x y z (fractional)
Ba (0.000, 0.000, 0.000)
Ba (0.000, 0.000, 0.500)
Np (0.667, 0.333, 0.250)
Np (0.333, 0.667, 0.750)
I (0.333, 0.667, 0.250)
I (0.667, 0.333, 0.750)
O (0.621, 0.627, 0.150)
O (0.006, 0.379, 0.150)
O (0.379, 0.006, 0.650)
O (0.994, 0.621, 0.850)
O (0.373, 0.379, 0.350)
O (0.006, 0.627, 0.350)
O (0.627, 0.006, 0.850)
O (0.621, 0.994, 0.350)
O (0.994, 0.373, 0.650)
O (0.373, 0.994, 0.150)
O (0.627, 0.621, 0.650)
O (0.379, 0.373, 0.850)

Calculated values
**Volume**: 328.0 Å³ per cell
**Space group**: P-31c (163)
**ΔE_f (raw)**: -1909 meV per atom
**Magnetic moment**: 4.00 Bohr magnetons per cell
**DFT total energy**: -7.04 eV per atom

***

Entry 3:
Er6Te2Ru after structural relaxation, computed with PBE-GGA.

Unit cell a=8.265 b=8.265 c=3.984 alpha=90.00 beta=90.00 gamma=120.00
Element x y z (fractional)
Er (0.000, 0.608, 0.500)
Er (0.239, 0.000, 0.000)
Er (0.000, 0.239, 0.000)
Er (0.608, 0.000, 0.500)
Er (0.392, 0.392, 0.500)
Er (0.761, 0.761, 0.000)
Te (0.333, 0.667, 0.000)
Te (0.667, 0.333, 0.000)
Ru (0.000, 0.000, 0.500)

Calculated values
**Volume**: 235.7 Å³ per cell
**Space group**: P-62m (189)
**ΔE_f (raw)**: -737 meV per atom
**Magnetic moment**: 0.00 Bohr magnetons per cell
**DFT total energy**: -5.51 eV per atom

***

Entry 4:
Si3C after structural relaxation, computed with PBE-GGA.

Unit cell a=3.234 b=3.234 c=6.590 alpha=90.00 beta=90.00 gamma=128.05
Element x y z (fractional)
Si (0.500, 0.500, 0.806)
Si (0.000, 0.000, 0.500)
Si (0.500, 0.500, 0.194)
C (0.000, 0.000, 0.000)

Calculated values
**Volume**: 54.3 Å³ per cell
**Distance to the lowest polymorph of the same formula**: 0.669 eV per atom
**Space group**: Cmmm (65)
**ΔE_f (raw)**: 846 meV per atom
**Magnetic moment**: 0.00 Bohr magnetons per cell
**DFT total energy**: -5.53 eV per atom

***

Entry 5:
YGeSeBr2 after structural relaxation, computed with PBE-GGA.

Unit cell a=5.198 b=5.198 c=5.380 alpha=90.00 beta=90.00 gamma=90.00
Element x y z (fractional)
Y (0.500, 0.500, 0.500)
Ge (0.000, 0.000, 0.000)
Se (0.000, 0.000, 0.500)
Br (0.000, 0.500, 0.000)
Br (0.500, 0.000, 0.000)

Calculated values
**Volume**: 145.4 Å³ per cell
**Distance to the lowest polymorph of the same formula**: 0.348 eV per atom
**Space group**: P4/mmm (123)
**ΔE_f (raw)**: -322 meV per atom
**Magnetic moment**: 0.92 Bohr magnetons per cell
**DFT total energy**: -3.90 eV per atom

***

Entry 6:
Ba4LaSe5 after structural relaxation, computed with PBE-GGA.

Unit cell a=4.631 b=4.631 c=16.715 alpha=97.96 beta=97.96 gamma=90.00
Element x y z (fractional)
Ba (0.402, 0.402, 0.803)
Ba (0.801, 0.801, 0.602)
Ba (0.199, 0.199, 0.398)
Ba (0.598, 0.598, 0.197)
La (0.000, 0.000, 0.000)
Se (0.093, 0.093, 0.187)
Se (0.500, 0.500, 0.000)
Se (0.907, 0.907, 0.813)
Se (0.301, 0.301, 0.601)
Se (0.699, 0.699, 0.399)

Calculated values
**Volume**: 351.5 Å³ per cell
**Space group**: I4/mmm (139)
**ΔE_f (raw)**: -1996 meV per atom
**Magnetic moment**: 0.00 Bohr magnetons per cell
**DFT total energy**: -5.00 eV per atom

***

Entry 7:
Sm2YUN4 after structural relaxation, computed with PBE-GGA.

Unit cell a=3.518 b=6.033 c=6.090 alpha=108.99 beta=90.00 gamma=90.00
Element x y z (fractional)
Sm (0.500, 0.000, 0.500)
Sm (0.000, 0.500, 0.500)
Y (0.000, 0.000, 0.000)
U (0.500, 0.500, 0.000)
N (0.500, 0.264, 0.224)
N (0.500, 0.736, 0.776)
N (0.000, 0.271, 0.777)
N (0.000, 0.729, 0.223)

Calculated values
**Volume**: 122.2 Å³ per cell
**Space group**: P2/m (10)
**ΔE_f (raw)**: -1538 meV per atom
**Magnetic moment**: 0.82 Bohr magnetons per cell
**DFT total energy**: -9.10 eV per atom

***

Entry 8:
Sr2GaBi after structural relaxation, computed with PBE-GGA.

Unit cell a=5.732 b=5.732 c=5.732 alpha=60.00 beta=60.00 gamma=60.00
Element x y z (fractional)
Sr (0.250, 0.250, 0.250)
Sr (0.750, 0.750, 0.750)
Bi (0.500, 0.500, 0.500)
Ga (0.000, 0.000, 0.000)

Calculated values
**Energy of formation from the pure elements**: -531 meV/atom
**Volume**: 133.2 Å³ per cell
**Distance to the lowest polymorph of the same formula**: 0.038 eV per atom
**Space group**: Fm-3m (225)
**Magnetic moment**: 0.00 Bohr magnetons per cell
**DFT total energy**: -3.10 eV per atom

***

Entry 9:
TmTlHgCl6 after structural relaxation, computed with PBE-GGA.

Unit cell a=6.966 b=6.966 c=14.023 alpha=90.00 beta=90.00 gamma=120.00
Element x y z (fractional)
Tm (0.667, 0.333, 0.250)
Tm (0.333, 0.667, 0.750)
Tl (0.000, 0.000, 0.000)
Tl (0.000, 0.000, 0.500)
Hg (0.333, 0.667, 0.250)
Hg (0.667, 0.333, 0.750)
Cl (0.633, 0.622, 0.142)
Cl (0.989, 0.367, 0.142)
Cl (0.367, 0.989, 0.642)
Cl (0.011, 0.633, 0.858)
Cl (0.378, 0.367, 0.358)
Cl (0.989, 0.622, 0.358)
Cl (0.622, 0.989, 0.858)
Cl (0.633, 0.011, 0.358)
Cl (0.011, 0.378, 0.642)
Cl (0.378, 0.011, 0.142)
Cl (0.622, 0.633, 0.642)
Cl (0.367, 0.378, 0.858)

Calculated values
**Volume**: 589.2 Å³ per cell
**Space group**: P-31c (163)
**ΔE_f (raw)**: -1444 meV per atom
**Magnetic moment**: 0.00 Bohr magnetons per cell
**DFT total energy**: -3.47 eV per atom

***

Entry 10:
NiBW3 after structural relaxation, computed with PBE-GGA.

Unit cell a=4.144 b=4.144 c=4.144 alpha=90.00 beta=90.00 gamma=90.00
Element x y z (fractional)
Ni (0.500, 0.500, 0.500)
B (0.000, 0.000, 0.000)
W (0.000, 0.500, 0.000)
W (0.000, 0.000, 0.500)
W (0.500, 0.000, 0.000)

Calculated values
**Energy of formation from the pure elements**: 390 meV/atom
**Volume**: 71.2 Å³ per cell
**Distance to the lowest polymorph of the same formula**: 0.000 eV per atom
**Space group**: Pm-3m (221)
**Magnetic moment**: 0.00 Bohr magnetons per cell
**DFT total energy**: -9.87 eV per atom

***

Entry 11:
Tb4Pr5Th after structural relaxation, computed with PBE-GGA.

Unit cell a=3.604 b=10.699 c=9.410 alpha=83.63 beta=101.04 gamma=90.00
Element x y z (fractional)
Tb (0.320, 0.919, 0.640)
Tb (0.952, 0.762, 0.904)
Tb (0.680, 0.081, 0.360)
Tb (0.048, 0.238, 0.096)
Pr (0.809, 0.600, 0.618)
Pr (0.862, 0.222, 0.725)
Pr (0.138, 0.778, 0.275)
Pr (0.500, 0.500, 0.000)
Pr (0.191, 0.400, 0.382)
Th (0.500, 0.000, 0.000)

Calculated values
**Energy of formation from the pure elements**: 144 meV/atom
**Volume**: 353.8 Å³ per cell
**Distance to the lowest polymorph of the same formula**: 0.000 eV per atom
**Space group**: C2/m (12)
**Magnetic moment**: 0.00 Bohr magnetons per cell
**DFT total energy**: -4.84 eV per atom

***

Entry 12:
Tb6Ho8Er after structural relaxation, computed with PBE-GGA.

Unit cell a=8.977 b=8.977 c=8.565 alpha=58.40 beta=58.40 gamma=60.00
Element x y z (fractional)
Tb (0.460, 0.892, 0.876)
Tb (0.108, 0.228, 0.124)
Tb (0.228, 0.540, 0.124)
Tb (0.772, 0.460, 0.876)
Tb (0.892, 0.772, 0.876)
Tb (0.540, 0.108, 0.124)
Ho (0.721, 0.110, 0.424)
Ho (0.890, 0.256, 0.576)
Ho (0.256, 0.279, 0.576)
Ho (0.577, 0.577, 0.270)
Ho (0.423, 0.423, 0.730)
Ho (0.744, 0.721, 0.424)
Ho (0.110, 0.744, 0.424)
Ho (0.279, 0.890, 0.576)
Er (0.000, 0.000, 0.000)

Calculated values
**Energy of formation from the pure elements**: 126 meV/atom
**Volume**: 475.9 Å³ per cell
**Space group**: R-3 (148)
**Magnetic moment**: 0.00 Bohr magnetons per cell
**DFT total energy**: -4.47 eV per atom

***

Entry 13:
Na2Pm2PtO6 after structural relaxation, computed with PBE-GGA.

Unit cell a=5.952 b=5.952 c=5.897 alpha=96.41 beta=96.41 gamma=120.63
Element x y z (fractional)
Na (0.865, 0.135, 0.000)
Na (0.135, 0.865, 0.000)
Pm (0.338, 0.662, 0.500)
Pm (0.662, 0.338, 0.500)
Pt (0.000, 0.000, 0.500)
O (0.755, 0.755, 0.706)
O (0.032, 0.341, 0.691)
O (0.245, 0.245, 0.294)
O (0.341, 0.032, 0.691)
O (0.968, 0.659, 0.309)
O (0.659, 0.968, 0.309)

Calculated values
**Volume**: 175.2 Å³ per cell
**Space group**: C2/m (12)
**ΔE_f (raw)**: -2043 meV per atom
**Magnetic moment**: 0.00 Bohr magnetons per cell
**DFT total energy**: -6.40 eV per atom

***

Entry 14:
CaSi after structural relaxation, computed with PBE-GGA.

Unit cell a=4.066 b=4.066 c=15.084 alpha=90.00 beta=90.00 gamma=120.00
Element x y z (fractional)
Ca (0.333, 0.667, 0.112)
Ca (0.667, 0.333, 0.612)
Ca (0.667, 0.333, 0.888)
Ca (0.333, 0.667, 0.388)
Si (0.000, 0.000, 0.250)
Si (0.000, 0.000, 0.750)
Si (0.333, 0.667, 0.750)
Si (0.667, 0.333, 0.250)

Calculated values
**Volume**: 215.9 Å³ per cell
**Space group**: P6_3/mmc (194)
**ΔE_f (raw)**: -240 meV per atom
**Magnetic moment**: 0.00 Bohr magnetons per cell
**DFT total energy**: -3.95 eV per atom

***

Entry 15:
SrNb2Ga2 after structural relaxation, computed with PBE-GGA.

Unit cell a=5.010 b=5.010 c=5.824 alpha=64.52 beta=64.52 gamma=90.00
Element x y z (fractional)
Sr (0.000, 0.000, 0.000)
Nb (0.352, 0.352, 0.296)
Nb (0.648, 0.648, 0.704)
Ga (0.750, 0.250, 0.500)
Ga (0.250, 0.750, 0.500)

Calculated values
**Energy of formation from the pure elements**: 204 meV/atom
**Volume**: 116.0 Å³ per cell
**Distance to the lowest polymorph of the same formula**: 0.223 eV per atom
**Space group**: I4/mmm (139)
**Magnetic moment**: 1.72 Bohr magnetons per cell
**DFT total energy**: -5.37 eV per atom

***

Entry 16:
NbAg2Ru after structural relaxation, computed with PBE-GGA.

Unit cell a=4.565 b=4.565 c=4.565 alpha=60.00 beta=60.00 gamma=60.00
Element x y z (fractional)
Ru (0.500, 0.500, 0.500)
Nb (0.000, 0.000, 0.000)
Ag (0.250, 0.250, 0.250)
Ag (0.750, 0.750, 0.750)

Calculated values
**Energy of formation from the pure elements**: 617 meV/atom
**Volume**: 67.3 Å³ per cell
**Distance to the lowest polymorph of the same formula**: 0.000 eV per atom
**Space group**: Fm-3m (225)
**Magnetic moment**: 0.00 Bohr magnetons per cell
**DFT total energy**: -5.65 eV per atom

***

Entry 17:
LiAcSi2O6 after structural relaxation, computed with PBE-GGA.

Unit cell a=5.611 b=7.357 c=7.357 alpha=90.10 beta=75.26 gamma=75.26
Element x y z (fractional)
Li (0.250, 0.242, 0.758)
Li (0.750, 0.758, 0.242)
Ac (0.250, 0.870, 0.130)
Ac (0.750, 0.130, 0.870)
Si (0.325, 0.778, 0.623)
Si (0.175, 0.377, 0.222)
Si (0.675, 0.222, 0.377)
Si (0.825, 0.623, 0.778)
O (0.209, 0.960, 0.780)
O (0.291, 0.220, 0.040)
O (0.791, 0.040, 0.220)
O (0.709, 0.780, 0.960)
O (0.406, 0.825, 0.405)
O (0.094, 0.595, 0.175)
O (0.594, 0.175, 0.595)
O (0.906, 0.405, 0.825)
O (0.081, 0.678, 0.645)
O (0.419, 0.355, 0.322)
O (0.919, 0.322, 0.355)
O (0.581, 0.645, 0.678)

Calculated values
**Volume**: 283.3 Å³ per cell
**Space group**: C2/c (15)
**ΔE_f (raw)**: -2849 meV per atom
**Magnetic moment**: 0.00 Bohr magnetons per cell
**DFT total energy**: -7.51 eV per atom

***

Entry 18:
RbLi3Cd4Cl12 after structural relaxation, computed with PBE-GGA.

Unit cell a=8.580 b=8.580 c=8.580 alpha=109.47 beta=109.47 gamma=109.47
Element x y z (fractional)
Rb (0.000, 0.000, 0.000)
Li (0.000, 0.500, 0.500)
Li (0.500, 0.500, 0.000)
Li (0.500, 0.000, 0.500)
Cd (0.500, 0.000, 0.000)
Cd (0.500, 0.500, 0.500)
Cd (0.000, 0.500, 0.000)
Cd (0.000, 0.000, 0.500)
Cl (0.315, 0.824, 0.140)
Cl (0.685, 0.176, 0.860)
Cl (0.685, 0.824, 0.509)
Cl (0.860, 0.685, 0.176)
Cl (0.824, 0.140, 0.315)
Cl (0.176, 0.491, 0.315)
Cl (0.491, 0.315, 0.176)
Cl (0.176, 0.860, 0.685)
Cl (0.315, 0.176, 0.491)
Cl (0.140, 0.315, 0.824)
Cl (0.824, 0.509, 0.685)
Cl (0.509, 0.685, 0.824)

Calculated values
**Volume**: 486.2 Å³ per cell
**Space group**: Im-3 (204)
**ΔE_f (raw)**: -1353 meV per atom
**Magnetic moment**: 0.00 Bohr magnetons per cell
**DFT total energy**: -2.98 eV per atom

***

Entry 19:
Pm5HoTl4 after structural relaxation, computed with PBE-GGA.

Unit cell a=3.679 b=3.679 c=22.251 alpha=90.00 beta=90.00 gamma=90.00
Element x y z (fractional)
Pm (0.500, 0.500, 0.113)
Pm (0.500, 0.500, 0.306)
Pm (0.500, 0.500, 0.500)
Pm (0.500, 0.500, 0.694)
Pm (0.500, 0.500, 0.887)
Ho (0.000, 0.000, 0.000)
Tl (0.000, 0.000, 0.209)
Tl (0.000, 0.000, 0.403)
Tl (0.000, 0.000, 0.597)
Tl (0.000, 0.000, 0.791)

Calculated values
**Energy of formation from the pure elements**: -292 meV/atom
**Volume**: 301.1 Å³ per cell
**Distance to the lowest polymorph of the same formula**: 0.000 eV per atom
**Space group**: P4/mmm (123)
**Magnetic moment**: 0.00 Bohr magnetons per cell
**DFT total energy**: -4.07 eV per atom

***

Entry 20:
NpTl2Ga after structural relaxation, computed with PBE-GGA.

Unit cell a=4.769 b=4.552 c=4.552 alpha=90.00 beta=90.00 gamma=90.00
Element x y z (fractional)
Np (0.500, 0.000, 0.000)
Tl (0.000, 0.000, 0.500)
Tl (0.000, 0.500, 0.000)
Ga (0.500, 0.500, 0.500)

Calculated values
**Energy of formation from the pure elements**: 141 meV/atom
**Volume**: 98.8 Å³ per cell
**Space group**: P4/mmm (123)
**Magnetic moment**: 4.29 Bohr magnetons per cell
**DFT total energy**: -5.03 eV per atom

***

Entry 21:
TlIn2HSe after structural relaxation, computed with PBE-GGA.

Unit cell a=4.845 b=5.094 c=4.845 alpha=90.00 beta=90.00 gamma=90.00
Element x y z (fractional)
H (0.000, 0.000, 0.000)
Tl (0.000, 0.500, 0.000)
Se (0.500, 0.500, 0.500)
In (0.000, 0.000, 0.500)
In (0.500, 0.000, 0.000)

Calculated values
**Volume**: 119.6 Å³ per cell
**Space group**: P4/mmm (123)
**Magnetic moment**: 0.00 Bohr magnetons per cell
**DFT total energy**: -2.85 eV per atom

***

Entry 22:
La4NdAg5 after structural relaxation, computed with PBE-GGA.

Unit cell a=3.780 b=3.780 c=19.376 alpha=90.00 beta=90.00 gamma=90.00
Element x y z (fractional)
La (0.000, 0.000, 0.198)
La (0.000, 0.000, 0.399)
La (0.000, 0.000, 0.601)
La (0.000, 0.000, 0.802)
Nd (0.000, 0.000, 0.000)
Ag (0.500, 0.500, 0.095)
Ag (0.500, 0.500, 0.298)
Ag (0.500, 0.500, 0.500)
Ag (0.500, 0.500, 0.702)
Ag (0.500, 0.500, 0.905)

Calculated values
**Energy of formation from the pure elements**: -257 meV/atom
**Volume**: 276.9 Å³ per cell
**Space group**: P4/mmm (123)
**Magnetic moment**: 0.00 Bohr magnetons per cell
**DFT total energy**: -4.13 eV per atom

***

Entry 23:
SiTe2W after structural relaxation, computed with PBE-GGA.

Unit cell a=6.317 b=6.317 c=7.426 alpha=64.83 beta=64.83 gamma=90.00
Element x y z (fractional)
Si (0.500, 0.500, 0.000)
Si (0.250, 0.750, 0.500)
Te (0.643, 0.125, 0.250)
Te (0.107, 0.625, 0.250)
Te (0.375, 0.357, 0.750)
Te (0.875, 0.893, 0.750)
W (0.000, 0.000, 0.000)
W (0.750, 0.250, 0.500)

Calculated values
**Volume**: 236.7 Å³ per cell
**Space group**: I-42d (122)
**ΔE_f (raw)**: 915 meV per atom
**Magnetic moment**: 0.00 Bohr magnetons per cell
**DFT total energy**: -5.25 eV per atom